## Cs8KNa3 (PBE-GGA)

Data for an optimized crystal structure of Cs8KNa3.

Properties
Its density of states at the Fermi level is 1.287 states/eV per atom. The calculated formation energy is 0.07 eV per atom.

Cell and atoms, written as CIF:
```
data_Cs8KNa3
_cell_length_a 15.1733
_cell_length_b 14.8862
_cell_length_c 13.0786
_cell_angle_alpha 90.00
_cell_angle_beta 125.15
_cell_angle_gamma 90.00
_symmetry_space_group_name_H-M 'C 1 m 1'
_symmetry_Int_Tables_number 8
loop_
_symmetry_equiv_pos_as_xyz
'x,y,z'
'x,-y,z'
'x+1/2,y+1/2,z'
'x+1/2,-y+1/2,z'
loop_
_atom_site_label
_atom_site_type_symbol
_atom_site_fract_x
_atom_site_fract_y
_atom_site_fract_z
_atom_site_occupancy
Cs1 Cs 0.0000 0.0000 0.0000 1
Cs2 Cs 0.0042 0.2601 0.4911 1
Cs3 Cs 0.0159 0.5000 0.9987 1
Cs4 Cs 0.2454 0.5000 0.4852 1
Cs5 Cs 0.2585 0.0000 0.4847 1
Cs6 Cs 0.2657 0.2587 0.0133 1
K1 K 0.1324 0.0000 0.7475 1
Na1 Na 0.1323 0.2503 0.2468 1
Na2 Na 0.1328 0.5000 0.7477 1
```



## Tc2PRu (PBE-GGA)

Data for an optimized crystal structure of Tc2PRu.

Properties
Its density of states at the Fermi level is 0.997 states/eV per atom. The calculated formation energy is -0.10 eV per atom.

Cell and atoms, written as CIF:
```
data_Tc2PRu
_cell_length_a 2.8093
_cell_length_b 3.9053
_cell_length_c 5.1830
_cell_angle_alpha 90.00
_cell_angle_beta 103.59
_cell_angle_gamma 90.00
_symmetry_space_group_name_H-M 'P 1 2/m 1'
_symmetry_Int_Tables_number 10
loop_
_symmetry_equiv_pos_as_xyz
'x,y,z'
'-x,-y,-z'
'-x,y,-z'
'x,-y,z'
loop_
_atom_site_label
_atom_site_type_symbol
_atom_site_fract_x
_atom_site_fract_y
_atom_site_fract_z
_atom_site_occupancy
Tc1 Tc 0.1279 0.0000 0.2658 1
P1 P 0.5000 0.5000 0.5000 1
Ru1 Ru 0.5000 0.5000 0.0000 1
```



## Sr3Pr5Se12 (PBE-GGA)

Data for an optimized crystal structure of Sr3Pr5Se12.

Properties
Its density of states at the Fermi level is 1.167 states/eV per atom. For the formation energy from raw total energies, the calculation gives -1.502 eV per atom.

Cell and atoms, written as CIF:
```
data_Sr3Pr5Se12
_cell_length_a 17.7192
_cell_length_b 17.7192
_cell_length_c 17.7192
_cell_angle_alpha 90.00
_cell_angle_beta 90.00
_cell_angle_gamma 90.00
_symmetry_space_group_name_H-M 'I a -3 d'
_symmetry_Int_Tables_number 230
_symmetry_space_group_name_Hall '-I 4bd 2c 3'
loop_
_atom_site_label
_atom_site_type_symbol
_atom_site_fract_x
_atom_site_fract_y
_atom_site_fract_z
_atom_site_occupancy
Sr1 Sr 0.0000 0.2500 0.1250 1
Pr1 Pr 0.0000 0.0000 0.0000 1
Pr2 Pr 0.0000 0.2500 0.3750 1
Se1 Se 0.0248 0.0723 0.6505 1
```